<one>
Computed, not measured: crystalline BSe2F at its relaxed geometry at the GGA-PBE level of DFT.

Cell: 3.5452 3.5452 21.9435 Å, 90.00 90.00 120.00°
Last column: nearest neighbours and their distance in Å.
Space group R-3m (No. 166, hexagonal axes)
Inequivalent atoms, fractional coordinates:
B  0.0000  0.0000  0.0000 [3 per cell]  2 Se 1.82
Se  0.0000  0.0000  0.0830 [6 per cell]  1 B 1.82
F  0.0000  0.0000  0.5000 [3 per cell]  6 Se 2.75

<two>
Computed, not measured: crystalline BSe2F at its relaxed geometry at the GGA-PBE level of DFT.

Cell: 5.6918 5.6918 8.7804 Å, 90.00 90.00 90.00°
Last column: nearest neighbours and their distance in Å.
Space group I-42d (No. 122)
Inequivalent atoms, fractional coordinates:
B  0.0000  0.0000  0.0000 [4 per cell]  4 Se 2.07
Se  0.1806  0.2500  0.1250 [8 per cell]  2 B 2.07
F  0.0000  0.0000  0.5000 [4 per cell]  4 Se 2.56

Winner for stability: <two>

<one>
Computed, not measured: crystalline BSe2F at its relaxed geometry at the GGA-PBE level of DFT.

Cell: 5.9622 5.9622 5.9622 Å, 90.00 90.00 90.00°
Last column: nearest neighbours and their distance in Å.
Space group Fm-3m (No. 225)
Inequivalent atoms, fractional coordinates:
B  0.0000  0.0000  0.0000 [4 per cell]  8 Se 2.58
Se  0.2500  0.2500  0.2500 [8 per cell]  4 F 2.58, 4 B 2.58
F  0.0000  0.0000  0.5000 [4 per cell]  8 Se 2.58

<two>
Computed, not measured: crystalline BSe2F at its relaxed geometry at the GGA-PBE level of DFT.

Cell: 3.3197 3.3197 20.6722 Å, 90.00 90.00 120.00°
Last column: nearest neighbours and their distance in Å.
Space group R-3m (No. 166, hexagonal axes)
Inequivalent atoms, fractional coordinates:
B  0.0000  0.0000  0.0000 [3 per cell]  6 Se 2.29
Se  0.0000  0.0000  0.3942 [6 per cell]  1 F 2.19, 3 B 2.29
F  0.0000  0.0000  0.5000 [3 per cell]  2 Se 2.19

Winner for stability: <two>